No. 1
First-principles (PBE) data for a relaxed structure of LiAcSiPd, as listed in the Alexandria database.

Mass density = 7.40 Mg/m³
Uncorrected formation energy = -439.1 meV/atom

Lattice parameters (Å, degrees): 4.890 4.890 4.890 60.00 60.00 60.00
Positions (direct):
Pd 0.000 0.000 0.000
Si 0.750 0.750 0.750
Li 0.500 0.500 0.500
Ac 0.250 0.250 0.250


No. 2
First-principles (PBE) data for a relaxed structure of Ho8Hg2C3, as listed in the Alexandria database.

Calculated formation energy = -333 kJ/mol of formula units
Mass density = 9.14 Mg/m³

Lattice parameters (Å, degrees): 6.439 7.211 8.053 116.60 105.45 90.00
Positions (direct):
Ho 0.388 0.331 0.189
Ho 0.612 0.142 0.811
Ho 0.612 0.669 0.811
Ho 0.966 0.610 0.221
Ho 0.034 0.390 0.779
Ho 0.388 0.858 0.189
Ho 0.895 0.101 0.201
Ho 0.105 0.899 0.799
C 0.500 0.000 0.000
C 0.000 0.252 0.000
C 0.000 0.748 0.000
Hg 0.673 0.737 0.473
Hg 0.327 0.263 0.527


Which of these has the highest mass density?
Ho8Hg2C3


The lowest mass density belongs to which entry?
LiAcSiPd


Look up the mass density of the second one.
9.14 Mg/m³


mass density of number 2 (Ho8Hg2C3)?
9.14 Mg/m³